No. 1
Below is an optimized crystal structure of Bi2Te5Pb2, with properties calculated at the PBE level.

* energy above the most stable polymorph in this dataset: 0 meV/atom
* space group: No. 164
* formation energy (no corrections): -0.312 eV per atom
* magnetization: 0.0 μB per cell
* DFT total energy: -3.74 eV/atom

Unit cell a=4.5239 b=4.5239 c=18.1659 alpha=90.00 beta=90.00 gamma=120.00
Last column: nearest neighbours and their distance in Å.
Fractional coordinates of all 9 atoms:
Bi 0.0000 0.0000 0.1738  6 Te 3.10-3.30
Bi 0.0000 0.0000 0.8262  6 Te 3.10-3.30
Te 0.0000 0.0000 0.5000  6 Pb 3.26
Te 0.3333 0.6667 0.0820  3 Bi 3.10
Te 0.3333 0.6667 0.7152  3 Pb 3.26, 3 Bi 3.30
Te 0.6667 0.3333 0.2848  3 Pb 3.26, 3 Bi 3.30
Te 0.6667 0.3333 0.9180  3 Bi 3.10
Pb 0.3333 0.6667 0.3922  6 Te 3.26
Pb 0.6667 0.3333 0.6078  6 Te 3.26


No. 2
Below is an optimized crystal structure of BiTePb, with properties calculated at the PBE level.

* space group: No. 12
* formation energy (no corrections): -0.141 eV per atom
* DOS at the Fermi energy: 0.058 states/eV/atom
* magnetization: 0.0 μB per cell
* DFT total energy: -3.72 eV/atom

Unit cell a=4.4207 b=4.4207 c=14.3922 alpha=98.93 beta=98.93 gamma=60.06
Last column: nearest neighbours and their distance in Å.
Fractional coordinates of all 6 atoms:
Bi 0.1871 0.1871 0.0604  3 Bi 3.07
Bi 0.8129 0.8129 0.9396  3 Bi 3.07
Te 0.2960 0.2960 0.3783  3 Pb 3.04
Te 0.7040 0.7040 0.6217  3 Pb 3.04
Pb 0.4099 0.4099 0.7382  3 Te 3.04
Pb 0.5901 0.5901 0.2618  3 Te 3.04


No. 3
Below is an optimized crystal structure of BiTePb3, with properties calculated at the PBE level.

* energy above the most stable polymorph in this dataset: 497 meV/atom
* space group: No. 221
* formation energy (no corrections): 0.415 eV per atom
* DOS at the Fermi energy: 0.358 states/eV/atom
* magnetization: 0.0 μB per cell
* DFT total energy: -3.21 eV/atom

Unit cell a=5.9633 b=5.9633 c=5.9633 alpha=90.00 beta=90.00 gamma=90.00
Last column: nearest neighbours and their distance in Å.
Fractional coordinates of all 5 atoms:
Bi 0.0000 0.0000 0.0000  12 Pb 4.22
Te 0.5000 0.5000 0.5000  6 Pb 2.98
Pb 0.0000 0.5000 0.5000  2 Te 2.98
Pb 0.5000 0.0000 0.5000  2 Te 2.98
Pb 0.5000 0.5000 0.0000  2 Te 2.98


No. 4
Below is an optimized crystal structure of Bi2Te2Pb, with properties calculated at the PBE level.

* energy above the most stable polymorph in this dataset: 60 meV/atom
* space group: No. 139
* formation energy (no corrections): 0.067 eV per atom
* DOS at the Fermi energy: 0.687 states/eV/atom
* magnetization: 0.0 μB per cell
* DFT total energy: -3.48 eV/atom

Unit cell a=6.5122 b=6.5122 c=6.5122 alpha=123.69 beta=123.69 gamma=83.72
Last column: nearest neighbours and their distance in Å.
Fractional coordinates of all 5 atoms:
Bi 0.1667 0.1667 0.0000  4 Te 3.18, 1 Bi 3.23, 1 Pb 3.23
Bi 0.8333 0.8333 0.0000  4 Te 3.18, 1 Bi 3.23, 1 Pb 3.23
Te 0.2500 0.7500 0.5000  4 Bi 3.18
Te 0.7500 0.2500 0.5000  4 Bi 3.18
Pb 0.5000 0.5000 0.0000  2 Bi 3.23


No. 5
Below is an optimized crystal structure of Bi2Te2Pb, with properties calculated at the PBE level.

* energy above the most stable polymorph in this dataset: 0 meV/atom
* space group: No. 127
* formation energy (no corrections): 0.007 eV per atom
* DOS at the Fermi energy: 0.631 states/eV/atom
* magnetization: 0.0 μB per cell
* DFT total energy: -3.54 eV/atom

Unit cell a=8.8466 b=8.8466 c=4.1618 alpha=90.00 beta=90.00 gamma=90.00
Last column: nearest neighbours and their distance in Å.
Fractional coordinates of all 10 atoms:
Bi 0.1443 0.3557 0.0000  2 Te 3.10, 2 Pb 3.40
Bi 0.3557 0.8557 0.0000  2 Te 3.10, 2 Pb 3.40
Bi 0.6443 0.1443 0.0000  2 Te 3.10, 2 Pb 3.40
Bi 0.8557 0.6443 0.0000  2 Te 3.10, 2 Pb 3.40
Te 0.1726 0.6726 0.5000  2 Bi 3.10
Te 0.3274 0.1726 0.5000  2 Bi 3.10
Te 0.6726 0.8274 0.5000  2 Bi 3.10
Te 0.8274 0.3274 0.5000  2 Bi 3.10
Pb 0.0000 0.0000 0.0000  4 Bi 3.40
Pb 0.5000 0.5000 0.0000  4 Bi 3.40


No. 6
Below is an optimized crystal structure of Bi2Te2Pb, with properties calculated at the PBE level.

* energy above the most stable polymorph in this dataset: 23 meV/atom
* space group: No. 127
* formation energy (no corrections): 0.029 eV per atom
* DOS at the Fermi energy: 0.606 states/eV/atom
* magnetization: 0.0 μB per cell
* DFT total energy: -3.52 eV/atom

Unit cell a=9.0386 b=9.0386 c=4.0306 alpha=90.00 beta=90.00 gamma=90.00
Last column: nearest neighbours and their distance in Å.
Fractional coordinates of all 10 atoms:
Bi 0.1720 0.3280 0.0000  2 Te 3.05
Bi 0.3280 0.8280 0.0000  2 Te 3.05
Bi 0.6720 0.1720 0.0000  2 Te 3.05
Bi 0.8280 0.6720 0.0000  2 Te 3.05
Te 0.1484 0.6484 0.5000  2 Bi 3.05
Te 0.3516 0.1484 0.5000  2 Bi 3.05
Te 0.6484 0.8516 0.5000  2 Bi 3.05
Te 0.8516 0.3516 0.5000  2 Bi 3.05
Pb 0.0000 0.0000 0.5000  4 Te 3.45
Pb 0.5000 0.5000 0.5000  4 Te 3.45


No. 7
Below is an optimized crystal structure of BiTe4Pb3, with properties calculated at the PBE level.

* energy above the most stable polymorph in this dataset: 17 meV/atom
* space group: No. 166
* formation energy (no corrections): -0.291 eV per atom
* DOS at the Fermi energy: 0.417 states/eV/atom
* magnetization: 0.0 μB per cell
* DFT total energy: -3.74 eV/atom

Unit cell a=14.6257 b=14.6257 c=14.6257 alpha=18.64 beta=18.64 gamma=18.64
Last column: nearest neighbours and their distance in Å.
Fractional coordinates of all 8 atoms:
Bi 0.0000 0.0000 0.0000  6 Te 3.22
Te 0.1240 0.1240 0.1240  6 Pb 3.26-3.30
Te 0.3726 0.3726 0.3726  3 Bi 3.22, 3 Pb 3.32
Te 0.6274 0.6274 0.6274  3 Bi 3.22, 3 Pb 3.32
Te 0.8760 0.8760 0.8760  6 Pb 3.26-3.30
Pb 0.2504 0.2504 0.2504  6 Te 3.26-3.32
Pb 0.5000 0.5000 0.5000  6 Te 3.30
Pb 0.7496 0.7496 0.7496  6 Te 3.26-3.32


No. 8
Below is an optimized crystal structure of BiTePb, with properties calculated at the PBE level.

* space group: No. 156
* formation energy (no corrections): 0.013 eV per atom
* DOS at the Fermi energy: 0.761 states/eV/atom
* magnetization: 0.0 μB per cell
* DFT total energy: -3.56 eV/atom

Unit cell a=4.3182 b=4.3182 c=6.3427 alpha=90.00 beta=90.00 gamma=120.00
Last column: nearest neighbours and their distance in Å.
Fractional coordinates of all 3 atoms:
Bi 0.0000 0.0000 0.0000  3 Te 3.22, 3 Pb 3.36
Te 0.6667 0.3333 0.3218  3 Bi 3.22, 3 Pb 3.22
Pb 0.3333 0.6667 0.6437  3 Te 3.22, 3 Bi 3.36


No. 9
Below is an optimized crystal structure of Bi2TePb, with properties calculated at the PBE level.

* energy above the most stable polymorph in this dataset: 81 meV/atom
* space group: No. 122
* formation energy (no corrections): 0.193 eV per atom
* DOS at the Fermi energy: 0.599 states/eV/atom
* magnetization: 0.0 μB per cell
* DFT total energy: -3.46 eV/atom

Unit cell a=9.3292 b=9.3292 c=9.3292 alpha=137.15 beta=137.15 gamma=62.21
Last column: nearest neighbours and their distance in Å.
Fractional coordinates of all 8 atoms:
Bi 0.1118 0.6250 0.9868  2 Te 3.08, 2 Pb 3.18
Bi 0.3750 0.3618 0.4868  2 Te 3.08, 2 Pb 3.18
Bi 0.6382 0.1250 0.0132  2 Te 3.08, 2 Pb 3.18
Bi 0.8750 0.8882 0.5132  2 Te 3.08, 2 Pb 3.18
Te 0.0000 0.0000 0.0000  4 Bi 3.08
Te 0.7500 0.2500 0.5000  4 Bi 3.08
Pb 0.2500 0.7500 0.5000  4 Bi 3.18
Pb 0.5000 0.5000 0.0000  4 Bi 3.18


No. 10
Below is an optimized crystal structure of Bi3Te5Pb12, with properties calculated at the PBE level.

* space group: No. 230
* formation energy (no corrections): 0.022 eV per atom
* DOS at the Fermi energy: 0.667 states/eV/atom
* magnetization: 0.0 μB per cell
* DFT total energy: -3.57 eV/atom

Unit cell a=16.2418 b=16.2418 c=16.2418 alpha=109.47 beta=109.47 gamma=109.47
Last column: nearest neighbours and their distance in Å.
Fractional coordinates of all 80 atoms:
Bi 0.1250 0.2500 0.3750  8 Pb 3.31-3.45
Bi 0.1250 0.3750 0.7500  8 Pb 3.31-3.45
Bi 0.2500 0.3750 0.1250  8 Pb 3.31-3.45
Bi 0.2500 0.8750 0.6250  8 Pb 3.31-3.45
Bi 0.3750 0.1250 0.2500  8 Pb 3.31-3.45
Bi 0.3750 0.7500 0.1250  8 Pb 3.31-3.45
Bi 0.6250 0.2500 0.8750  8 Pb 3.31-3.45
Bi 0.6250 0.8750 0.7500  8 Pb 3.31-3.45
Bi 0.7500 0.1250 0.3750  8 Pb 3.31-3.45
Bi 0.7500 0.6250 0.8750  8 Pb 3.31-3.45
Bi 0.8750 0.6250 0.2500  8 Pb 3.31-3.45
Bi 0.8750 0.7500 0.6250  8 Pb 3.31-3.45
Te 0.0000 0.0000 0.0000  6 Pb 3.22
Te 0.0000 0.0000 0.5000  6 Pb 3.22
Te 0.0000 0.5000 0.0000  6 Pb 3.22
Te 0.0000 0.5000 0.5000  6 Pb 3.22
Te 0.1250 0.7500 0.8750  4 Pb 3.14
Te 0.1250 0.8750 0.2500  4 Pb 3.14
Te 0.2500 0.1250 0.8750  4 Pb 3.14
Te 0.2500 0.6250 0.3750  4 Pb 3.14
Te 0.3750 0.2500 0.6250  4 Pb 3.14
Te 0.3750 0.6250 0.7500  4 Pb 3.14
Te 0.5000 0.0000 0.0000  6 Pb 3.22
Te 0.5000 0.0000 0.5000  6 Pb 3.22
Te 0.5000 0.5000 0.0000  6 Pb 3.22
Te 0.5000 0.5000 0.5000  6 Pb 3.22
Te 0.6250 0.3750 0.2500  4 Pb 3.14
Te 0.6250 0.7500 0.3750  4 Pb 3.14
Te 0.7500 0.3750 0.6250  4 Pb 3.14
Te 0.7500 0.8750 0.1250  4 Pb 3.14
Te 0.8750 0.1250 0.7500  4 Pb 3.14
Te 0.8750 0.2500 0.1250  4 Pb 3.14
Pb 0.0647 0.2299 0.1418  2 Te 3.14-3.22, 2 Bi 3.31-3.45, 1 Pb 3.40
Pb 0.0647 0.3348 0.9229  2 Te 3.14-3.22, 2 Bi 3.31-3.45, 1 Pb 3.40
Pb 0.0771 0.6418 0.4119  2 Te 3.14-3.22, 2 Bi 3.31-3.45, 1 Pb 3.40
Pb 0.0771 0.9353 0.6652  2 Te 3.14-3.22, 2 Bi 3.31-3.45, 1 Pb 3.40
Pb 0.0881 0.7299 0.6652  2 Te 3.14-3.22, 2 Bi 3.31-3.45, 1 Pb 3.40
Pb 0.0881 0.8582 0.4229  2 Te 3.14-3.22, 2 Bi 3.31-3.45, 1 Pb 3.40
Pb 0.1418 0.0647 0.2299  2 Te 3.14-3.22, 2 Bi 3.31-3.45, 1 Pb 3.40
Pb 0.1418 0.5771 0.9119  2 Te 3.14-3.22, 2 Bi 3.31-3.45, 1 Pb 3.40
Pb 0.1652 0.2299 0.5881  2 Te 3.14-3.22, 2 Bi 3.31-3.45, 1 Pb 3.40
Pb 0.1652 0.4353 0.5771  2 Te 3.14-3.22, 2 Bi 3.31-3.45, 1 Pb 3.40
Pb 0.2299 0.1418 0.0647  2 Te 3.14-3.22, 2 Bi 3.31-3.45, 1 Pb 3.40
Pb 0.2299 0.5881 0.1652  2 Te 3.14-3.22, 2 Bi 3.31-3.45, 1 Pb 3.40
Pb 0.2701 0.3348 0.9119  2 Te 3.14-3.22, 2 Bi 3.31-3.45, 1 Pb 3.40
Pb 0.2701 0.4353 0.3582  2 Te 3.14-3.22, 2 Bi 3.31-3.45, 1 Pb 3.40
Pb 0.3348 0.9119 0.2701  2 Te 3.14-3.22, 2 Bi 3.31-3.45, 1 Pb 3.40
Pb 0.3348 0.9229 0.0647  2 Te 3.14-3.22, 2 Bi 3.31-3.45, 1 Pb 3.40
Pb 0.3582 0.2701 0.4353  2 Te 3.14-3.22, 2 Bi 3.31-3.45, 1 Pb 3.40
Pb 0.3582 0.5881 0.9229  2 Te 3.14-3.22, 2 Bi 3.31-3.45, 1 Pb 3.40
Pb 0.4119 0.0771 0.6418  2 Te 3.14-3.22, 2 Bi 3.31-3.45, 1 Pb 3.40
Pb 0.4119 0.8348 0.7701  2 Te 3.14-3.22, 2 Bi 3.31-3.45, 1 Pb 3.40
Pb 0.4229 0.0881 0.8582  2 Te 3.14-3.22, 2 Bi 3.31-3.45, 1 Pb 3.40
Pb 0.4229 0.8348 0.5647  2 Te 3.14-3.22, 2 Bi 3.31-3.45, 1 Pb 3.40
Pb 0.4353 0.3582 0.2701  2 Te 3.14-3.22, 2 Bi 3.31-3.45, 1 Pb 3.40
Pb 0.4353 0.5771 0.1652  2 Te 3.14-3.22, 2 Bi 3.31-3.45, 1 Pb 3.40
Pb 0.5647 0.4229 0.8348  2 Te 3.14-3.22, 2 Bi 3.31-3.45, 1 Pb 3.40
Pb 0.5647 0.6418 0.7299  2 Te 3.14-3.22, 2 Bi 3.31-3.45, 1 Pb 3.40
Pb 0.5771 0.1652 0.4353  2 Te 3.14-3.22, 2 Bi 3.31-3.45, 1 Pb 3.40
Pb 0.5771 0.9119 0.1418  2 Te 3.14-3.22, 2 Bi 3.31-3.45, 1 Pb 3.40
Pb 0.5881 0.1652 0.2299  2 Te 3.14-3.22, 2 Bi 3.31-3.45, 1 Pb 3.40
Pb 0.5881 0.9229 0.3582  2 Te 3.14-3.22, 2 Bi 3.31-3.45, 1 Pb 3.40
Pb 0.6418 0.4119 0.0771  2 Te 3.14-3.22, 2 Bi 3.31-3.45, 1 Pb 3.40
Pb 0.6418 0.7299 0.5647  2 Te 3.14-3.22, 2 Bi 3.31-3.45, 1 Pb 3.40
Pb 0.6652 0.0771 0.9353  2 Te 3.14-3.22, 2 Bi 3.31-3.45, 1 Pb 3.40
Pb 0.6652 0.0881 0.7299  2 Te 3.14-3.22, 2 Bi 3.31-3.45, 1 Pb 3.40
Pb 0.7299 0.5647 0.6418  2 Te 3.14-3.22, 2 Bi 3.31-3.45, 1 Pb 3.40
Pb 0.7299 0.6652 0.0881  2 Te 3.14-3.22, 2 Bi 3.31-3.45, 1 Pb 3.40
Pb 0.7701 0.4119 0.8348  2 Te 3.14-3.22, 2 Bi 3.31-3.45, 1 Pb 3.40
Pb 0.7701 0.8582 0.9353  2 Te 3.14-3.22, 2 Bi 3.31-3.45, 1 Pb 3.40
Pb 0.8348 0.5647 0.4229  2 Te 3.14-3.22, 2 Bi 3.31-3.45, 1 Pb 3.40
Pb 0.8348 0.7701 0.4119  2 Te 3.14-3.22, 2 Bi 3.31-3.45, 1 Pb 3.40
Pb 0.8582 0.4229 0.0881  2 Te 3.14-3.22, 2 Bi 3.31-3.45, 1 Pb 3.40
Pb 0.8582 0.9353 0.7701  2 Te 3.14-3.22, 2 Bi 3.31-3.45, 1 Pb 3.40
Pb 0.9119 0.1418 0.5771  2 Te 3.14-3.22, 2 Bi 3.31-3.45, 1 Pb 3.40
Pb 0.9119 0.2701 0.3348  2 Te 3.14-3.22, 2 Bi 3.31-3.45, 1 Pb 3.40
Pb 0.9229 0.0647 0.3348  2 Te 3.14-3.22, 2 Bi 3.31-3.45, 1 Pb 3.40
Pb 0.9229 0.3582 0.5881  2 Te 3.14-3.22, 2 Bi 3.31-3.45, 1 Pb 3.40
Pb 0.9353 0.6652 0.0771  2 Te 3.14-3.22, 2 Bi 3.31-3.45, 1 Pb 3.40
Pb 0.9353 0.7701 0.8582  2 Te 3.14-3.22, 2 Bi 3.31-3.45, 1 Pb 3.40


No. 11
Below is an optimized crystal structure of Bi2Te5Pb2, with properties calculated at the PBE level.

* energy above the most stable polymorph in this dataset: 54 meV/atom
* space group: No. 164
* formation energy (no corrections): -0.258 eV per atom
* DOS at the Fermi energy: 0.080 states/eV/atom
* magnetization: 0.0 μB per cell
* DFT total energy: -3.69 eV/atom

Unit cell a=4.5101 b=4.5101 c=18.6726 alpha=90.00 beta=90.00 gamma=120.00
Last column: nearest neighbours and their distance in Å.
Fractional coordinates of all 9 atoms:
Bi 0.3333 0.6667 0.1072  6 Te 3.10-3.28
Bi 0.6667 0.3333 0.8928  6 Te 3.10-3.28
Te 0.0000 0.0000 0.0000  6 Bi 3.28
Te 0.3333 0.6667 0.4229  3 Pb 3.06
Te 0.3333 0.6667 0.8023  3 Bi 3.10
Te 0.6667 0.3333 0.1977  3 Bi 3.10
Te 0.6667 0.3333 0.5771  3 Pb 3.06
Pb 0.0000 0.0000 0.3371  3 Te 3.06
Pb 0.0000 0.0000 0.6629  3 Te 3.06


- What is the formula in the eleventh record?
  Bi2Te5Pb2


- Which value of formation energy (no corrections) does entry 4 give?
  0.067 eV per atom